Here is an optimized crystal structure of CsCuSb2S4 from the Alexandria database. Energies are from PBE-GGA.

Cell and atoms, written as POSCAR:
```
CsCuSb2S4
1.0
4.049 0.000 0.000
-2.024 6.967 0.000
0.000 0.000 14.434
Cs Cu Sb S
2 2 4 8
Cartesian
0.000 1.409 10.825 Cs
2.024 5.557 3.608 Cs
2.024 4.649 10.825 Cu
0.000 2.318 3.608 Cu
0.000 5.096 8.018 Sb
2.024 1.871 0.801 Sb
2.024 1.871 6.415 Sb
0.000 5.096 13.632 Sb
0.000 3.570 1.487 S
2.024 3.397 8.703 S
2.024 3.397 12.947 S
0.000 3.570 5.730 S
0.000 0.000 7.217 S
0.000 0.000 0.000 S
0.000 5.607 10.825 S
2.024 1.359 3.608 S
```

Summary:
Electronic total energy in eV per atom: -4.16
SG: No. 63
E_form (uncorrected) in eV per atom: -0.449
Calculated volume in Å³ per cell: 407
Magnetization in μB per formula unit: 0.00